[1]
A geometry-optimized InHg6Pb8 structure. Source: the Alexandria database, functional PBE.

As for the density of states at the Fermi level: 6.234 states/eV/cell. For the energy relative to the elements, the calculation gives 0.06 eV per atom. The relative energy among the computed polymorphs comes out at 37 meV per atom. The value obtained for the electronic total energy is -2.223 eV per atom.

Cell lengths 11.9448, 11.9448, 3.5735 Å; angles 90.00, 90.00, 120.00 degrees
Space group P-3 (No. 147)
Inequivalent atoms, fractional coordinates:
In 0.0000 0.0000 0.0000 [1 per cell]
Hg 0.0902 0.6130 0.7521 [6 per cell]
Pb 0.0840 0.2960 0.7405 [6 per cell]
Pb 0.3333 0.6667 0.2328 [2 per cell]

***

[2]
A geometry-optimized InHg6Pb8 structure. Source: the Alexandria database, functional PBE.

As for the density of states at the Fermi level: 7.102 states/eV/cell. For the energy relative to the elements, the calculation gives 0.02 eV per atom. The relative energy among the computed polymorphs comes out at 0 meV per atom. The value obtained for the electronic total energy is -2.260 eV per atom.

Cell lengths 6.0057, 6.0057, 14.2784 Å; angles 90.00, 90.00, 120.00 degrees
Space group P-31m (No. 162)
Inequivalent atoms, fractional coordinates:
In 0.0000 0.0000 0.0000 [1 per cell]
Hg 0.0000 0.3338 0.8051 [6 per cell]
Pb 0.0000 0.3319 0.3947 [6 per cell]
Pb 0.3333 0.6667 0.0000 [2 per cell]